(1)
# LiMgGa6, optimized geometry, DFT PBE-GGA
data_LiMgGa6
_cell_length_a 4.4092
_cell_length_b 6.8052
_cell_length_c 9.7238
_cell_angle_alpha 90.00
_cell_angle_beta 90.00
_cell_angle_gamma 90.00
_symmetry_space_group_name_H-M 'A m m 2'
_symmetry_Int_Tables_number 38
loop_
_symmetry_equiv_pos_as_xyz
'x,y,z'
'-x,-y,z'
'-x,y,z'
'x,-y,z'
'x,y+1/2,z+1/2'
'-x,-y+1/2,z+1/2'
'-x,y+1/2,z+1/2'
'x,-y+1/2,z+1/2'
loop_
_atom_site_label
_atom_site_type_symbol
_atom_site_fract_x
_atom_site_fract_y
_atom_site_fract_z
_atom_site_occupancy
Li1 Li 0.0000 0.0000 0.0000 1
Mg1 Mg 0.5000 0.0000 0.2620 1
Ga1 Ga 0.0000 0.0000 0.4549 1
Ga2 Ga 0.0000 0.2163 0.7243 1
Ga3 Ga 0.5000 0.0000 0.8150 1
Ga4 Ga 0.5000 0.2281 0.5337 1
# Polymorph energy (0 for the lowest one): 0.016 eV/atom

(2)
# LiIn2Ag, optimized geometry, DFT PBE-GGA
data_LiIn2Ag
_cell_length_a 6.1994
_cell_length_b 6.1685
_cell_length_c 5.3139
_cell_angle_alpha 90.00
_cell_angle_beta 125.56
_cell_angle_gamma 90.00
_symmetry_space_group_name_H-M 'C 1 2 1'
_symmetry_Int_Tables_number 5
loop_
_symmetry_equiv_pos_as_xyz
'x,y,z'
'-x,y,-z'
'x+1/2,y+1/2,z'
'-x+1/2,y+1/2,-z'
loop_
_atom_site_label
_atom_site_type_symbol
_atom_site_fract_x
_atom_site_fract_y
_atom_site_fract_z
_atom_site_occupancy
Li1 Li 0.0000 0.0000 0.0000 1
In1 In 0.0000 0.2512 0.5000 1
In2 In 0.0000 0.5000 0.0000 1
Ag1 Ag 0.0000 0.7503 0.5000 1
# Final energy: -21.67 eV for the cell shown

(3)
# Cs2SbS2, optimized geometry, DFT PBE-GGA
data_Cs2SbS2
_cell_length_a 3.6935
_cell_length_b 3.6935
_cell_length_c 23.8402
_cell_angle_alpha 90.00
_cell_angle_beta 90.00
_cell_angle_gamma 90.00
_symmetry_space_group_name_H-M 'I 4/m m m'
_symmetry_Int_Tables_number 139
_symmetry_space_group_name_Hall '-I 4 2'
loop_
_atom_site_label
_atom_site_type_symbol
_atom_site_fract_x
_atom_site_fract_y
_atom_site_fract_z
_atom_site_occupancy
Cs1 Cs 0.0000 0.0000 0.1255 1
Sb1 Sb 0.0000 0.0000 0.5000 1
S1 S 0.0000 0.5000 0.2500 1
# E_form (uncorrected): -224 meV/atom
# Polymorph energy (0 for the lowest one): 0.318 eV/atom

(4)
# Rb2NaF4, optimized geometry, DFT PBE-GGA
data_Rb2NaF4
_cell_length_a 4.4232
_cell_length_b 4.4232
_cell_length_c 14.2429
_cell_angle_alpha 90.00
_cell_angle_beta 90.00
_cell_angle_gamma 90.00
_symmetry_space_group_name_H-M 'I 4/m m m'
_symmetry_Int_Tables_number 139
_symmetry_space_group_name_Hall '-I 4 2'
loop_
_atom_site_label
_atom_site_type_symbol
_atom_site_fract_x
_atom_site_fract_y
_atom_site_fract_z
_atom_site_occupancy
Rb1 Rb 0.0000 0.0000 0.1384 1
Na1 Na 0.0000 0.0000 0.5000 1
F1 F 0.0000 0.0000 0.3350 1
F2 F 0.0000 0.5000 0.0000 1
# E_form (uncorrected): -2305 meV/atom

| no. | size of the total moment (μB/cell) |
| --- | --- |
| 1 | 0.0 |
| 2 | 0.0 |
| 3 | 0.0 |
| 4 | 2.1 |